! La2ZrPb, relaxed, DFT PBEsol; values from VASP
&SYSTEM
  ibrav = 0, nat = 4, ntyp = 3
/
ATOMIC_SPECIES
La 138.91 La.upf
Pb 207.20 Pb.upf
Zr 91.22 Zr.upf
CELL_PARAMETERS angstrom
-3.609 3.018 0.039
-1.163 -1.447 4.323
5.366 2.752 -0.195
ATOMIC_POSITIONS crystal
La 0.750 0.250 0.500
La 0.250 0.750 0.500
Pb 0.000 0.000 0.000
Zr 0.500 0.500 0.000
! Fermi-level density of states ... 1.190 states/eV per atom
! Energy of formation from the pure elements ... -0.142 eV per atom